NaYAgTe2, relaxed, DFT PBE; space group = P2/c (13); raw formation energy = -0.730 eV per atom; M_tot = 0.0 μB/cell; energy = -4.11 eV per atom
1.0
7.680 0.000 0.000
0.000 5.001 0.000
-1.157 0.000 8.176
Na Y Ag Te
2 2 2 4
direct
0.000 0.125 0.250 Na
0.000 0.875 0.750 Na
0.500 0.497 0.750 Y
0.500 0.503 0.250 Y
0.500 0.000 0.000 Ag
0.500 0.000 0.500 Ag
0.220 0.351 0.966 Te
0.220 0.649 0.466 Te
0.780 0.351 0.534 Te
0.780 0.649 0.034 Te

***

PbW3I, relaxed, DFT PBE; space group = Pm-3m (221); raw formation energy = 2.686 eV per atom; M_tot = 0.0 μB/cell; excess energy over the best structure of this formula in the dataset = 0 meV per atom; energy = -6.14 eV per atom
1.0
4.947 0.000 0.000
0.000 4.947 0.000
0.000 0.000 4.947
Pb W I
1 3 1
direct
0.000 0.000 0.000 Pb
0.000 0.500 0.500 W
0.500 0.000 0.500 W
0.500 0.500 0.000 W
0.500 0.500 0.500 I

***

LaCe2I6, relaxed, DFT PBE; space group = R3 (146); raw formation energy = -1.231 eV per atom; M_tot = 3.1 μB/cell; excess energy over the best structure of this formula in the dataset = 50 meV per atom; energy = -4.13 eV per atom
1.0
3.935 2.272 7.481
-3.935 2.272 7.481
0.000 -4.544 7.481
La Ce I
1 2 6
direct
0.000 0.000 0.000 La
0.166 0.166 0.166 Ce
0.332 0.332 0.332 Ce
0.081 0.420 0.749 I
0.254 0.912 0.580 I
0.420 0.749 0.081 I
0.580 0.254 0.912 I
0.749 0.081 0.420 I
0.912 0.580 0.254 I